KSrWF6 | PBE+U | optimized geometry

a b c (Å): 6.2801 6.2801 10.1031
angles (deg): 90.00 90.00 120.00
Last column: nearest neighbours and their distance in Å.
Positions (direct):
1 Sr 0.6667 0.3333 0.7500  6 F 2.45
2 Sr 0.3333 0.6667 0.2500  6 F 2.45
3 F 0.6559 0.0378 0.3586  1 W 2.13
4 F 0.3441 0.3819 0.8586  1 W 2.13
5 F 0.3819 0.0378 0.1414  1 W 2.13
6 F 0.3819 0.3441 0.3586  1 W 2.13
7 F 0.3441 0.9622 0.6414  1 W 2.13
8 F 0.6181 0.6559 0.6414  1 W 2.13
9 F 0.9622 0.6181 0.3586  1 W 2.13
10 F 0.6181 0.9622 0.8586  1 W 2.13
11 F 0.9622 0.3441 0.1414  1 W 2.13
12 F 0.6559 0.6181 0.1414  1 W 2.13
13 F 0.0378 0.6559 0.8586  1 W 2.13
14 F 0.0378 0.3819 0.6414  1 W 2.13
15 K 0.0000 0.0000 0.0000  6 F 2.70
16 K 0.0000 0.0000 0.5000  6 F 2.70
17 W 0.6667 0.3333 0.2500  6 F 2.13
18 W 0.3333 0.6667 0.7500  6 F 2.13

Output
spin magnetization: 0.33 μB/atom
uncorrected energy: -5.450 eV/atom
crystal system: trigonal